Record 1
Compound: Si3PdF
Source: Alexandria via LeMat-Bulk
Functional: PBE
Structure: relaxed

The structure in CIF format:
```
data_Si3PdF
_chemical_formula_sum 'Si3 Pd1 F1'
_cell_length_a 4.7036
_cell_length_b 4.7036
_cell_length_c 4.7036
_cell_angle_alpha 90.00
_cell_angle_beta 90.00
_cell_angle_gamma 90.00
_space_group_name_H-M_alt 'P m -3 m'
_space_group_IT_number 221
_space_group_name_Hall '-P 4 2 3'
loop_
_atom_site_label
_atom_site_type_symbol
_atom_site_fract_x
_atom_site_fract_y
_atom_site_fract_z
_atom_site_occupancy
Si1 Si 0.0000 0.0000 0.5000 1
Pd1 Pd 0.0000 0.0000 0.0000 1
F1 F 0.5000 0.5000 0.5000 1
```

Density: 3346 kg/m3
DOS at the Fermi energy: 1.138 states/eV per atom
Excess energy over the best structure of this formula in the dataset: 31 meV per atom
Raw total energy: -4.31 eV per atom
Energy relative to the elements, uncorrected: 0.353 eV per atom

=====

Record 2
Compound: SiPdF2
Source: Alexandria via LeMat-Bulk
Functional: PBE
Structure: relaxed

The structure in CIF format:
```
data_SiPdF2
_chemical_formula_sum 'Si3 Pd3 F6'
_cell_length_a 2.6934
_cell_length_b 2.6934
_cell_length_c 29.1948
_cell_angle_alpha 90.00
_cell_angle_beta 90.00
_cell_angle_gamma 120.00
_space_group_name_H-M_alt 'R -3 m'
_space_group_IT_number 166
_space_group_name_Hall '-R 3 2"'
loop_
_atom_site_label
_atom_site_type_symbol
_atom_site_fract_x
_atom_site_fract_y
_atom_site_fract_z
_atom_site_occupancy
Si1 Si 0.0000 0.0000 0.0000 1
Pd1 Pd 0.0000 0.0000 0.5000 1
F1 F 0.0000 0.0000 0.0560 1
```

Density: 4685 kg/m3
DOS at the Fermi energy: 1.279 states/eV per atom
Excess energy over the best structure of this formula in the dataset: 0 meV per atom
Raw total energy: -4.76 eV per atom
Energy relative to the elements, uncorrected: -1.171 eV per atom

=====

Record 3
Compound: SiPd2F
Source: Alexandria via LeMat-Bulk
Functional: PBE
Structure: relaxed

The structure in CIF format:
```
data_SiPd2F
_chemical_formula_sum 'Si4 Pd8 F4'
_cell_length_a 6.4068
_cell_length_b 6.4068
_cell_length_c 5.7270
_cell_angle_alpha 90.00
_cell_angle_beta 90.00
_cell_angle_gamma 90.00
_space_group_name_H-M_alt 'I -4 2 d'
_space_group_IT_number 122
_space_group_name_Hall 'I -4 2bw'
loop_
_atom_site_label
_atom_site_type_symbol
_atom_site_fract_x
_atom_site_fract_y
_atom_site_fract_z
_atom_site_occupancy
Si1 Si 0.0000 0.0000 0.0000 1
Pd1 Pd 0.2382 0.2500 0.1250 1
F1 F 0.0000 0.0000 0.5000 1
```

Density: 7344 kg/m3
DOS at the Fermi energy: 0.290 states/eV per atom
Excess energy over the best structure of this formula in the dataset: 127 meV per atom
Raw total energy: -5.00 eV per atom
Energy relative to the elements, uncorrected: -0.576 eV per atom

=====

Repeat the second record exactly.
Compound: SiPdF2
Source: Alexandria via LeMat-Bulk
Functional: PBE
Structure: relaxed

The structure in CIF format:
```
data_SiPdF2
_chemical_formula_sum 'Si3 Pd3 F6'
_cell_length_a 2.6934
_cell_length_b 2.6934
_cell_length_c 29.1948
_cell_angle_alpha 90.00
_cell_angle_beta 90.00
_cell_angle_gamma 120.00
_space_group_name_H-M_alt 'R -3 m'
_space_group_IT_number 166
_space_group_name_Hall '-R 3 2"'
loop_
_atom_site_label
_atom_site_type_symbol
_atom_site_fract_x
_atom_site_fract_y
_atom_site_fract_z
_atom_site_occupancy
Si1 Si 0.0000 0.0000 0.0000 1
Pd1 Pd 0.0000 0.0000 0.5000 1
F1 F 0.0000 0.0000 0.0560 1
```

Density: 4685 kg/m3
DOS at the Fermi energy: 1.279 states/eV per atom
Excess energy over the best structure of this formula in the dataset: 0 meV per atom
Raw total energy: -4.76 eV per atom
Energy relative to the elements, uncorrected: -1.171 eV per atom

=====

- Which of these has the highest excess energy over the best structure of this formula in the dataset?
  SiPd2F

=====

- Which value of energy relative to the elements, uncorrected does entry 3 give?
  -0.576 eV per atom

=====

- Look up the raw total energy of the first one.
  -4.31 eV per atom